(one)
Crystalline Ac7Tl2Pt2 at its relaxed geometry. Source: the Alexandria database, functional PBE.

```
data_Ac7Tl2Pt2
_chemical_formula_sum 'Ac14 Tl4 Pt4'
_cell_length_a 8.861
_cell_length_b 12.264
_cell_length_c 7.746
_cell_angle_alpha 90.00
_cell_angle_beta 90.00
_cell_angle_gamma 90.00
_space_group_name_H-M_alt 'C m m m'
_space_group_IT_number 65
_space_group_name_Hall '-C 2 2'
loop_
_atom_site_label
_atom_site_type_symbol
_atom_site_fract_x
_atom_site_fract_y
_atom_site_fract_z
Ac1 Ac 0.000 0.000 0.000
Ac2 Ac 0.000 0.500 0.243
Ac3 Ac 0.250 0.250 0.253
Tl1 Tl 0.170 0.000 0.500
Pt1 Pt 0.000 0.291 0.000
```

Values from the calculation:
As for the volume: 38.26 A^3/atom. The calculation puts the magnetization at 0.0 μB per formula unit.

(two)
Crystalline Ac7Tl2Pt2 at its relaxed geometry. Source: the Alexandria database, functional PBE.

```
data_Ac7Tl2Pt2
_chemical_formula_sum 'Ac14 Tl4 Pt4'
_cell_length_a 4.271
_cell_length_b 17.865
_cell_length_c 10.589
_cell_angle_alpha 90.00
_cell_angle_beta 90.00
_cell_angle_gamma 90.00
_space_group_name_H-M_alt 'I m m 2'
_space_group_IT_number 44
loop_
_space_group_symop_operation_xyz
'x,y,z'
'-x,-y,z'
'-x,y,z'
'x,-y,z'
'x+1/2,y+1/2,z+1/2'
'-x+1/2,-y+1/2,z+1/2'
'-x+1/2,y+1/2,z+1/2'
'x+1/2,-y+1/2,z+1/2'
loop_
_atom_site_label
_atom_site_type_symbol
_atom_site_fract_x
_atom_site_fract_y
_atom_site_fract_z
Ac1 Ac 0.000 0.000 0.000
Ac2 Ac 0.000 0.101 0.624
Ac3 Ac 0.000 0.325 0.405
Ac4 Ac 0.000 0.386 0.790
Tl1 Tl 0.000 0.241 0.123
Pt1 Pt 0.000 0.000 0.365
Pt2 Pt 0.000 0.500 0.284
```

Values from the calculation:
As for the volume: 36.73 A^3/atom. The calculation puts the magnetization at 0.0 μB per formula unit.

Most stable pick: (two). Distance to second place: 44 meV per atom.

(one)
Crystalline Ac5Tl2Pt at its relaxed geometry. Source: the Alexandria database, functional PBE.

```
data_Ac5Tl2Pt
_chemical_formula_sum 'Ac10 Tl4 Pt2'
_cell_length_a 7.887
_cell_length_b 7.887
_cell_length_c 9.408
_cell_angle_alpha 90.00
_cell_angle_beta 90.00
_cell_angle_gamma 90.00
_space_group_name_H-M_alt 'I 4 m m'
_space_group_IT_number 107
_space_group_name_Hall 'I 4 -2'
loop_
_atom_site_label
_atom_site_type_symbol
_atom_site_fract_x
_atom_site_fract_y
_atom_site_fract_z
Ac1 Ac 0.000 0.000 0.000
Ac2 Ac 0.249 0.249 0.241
Tl1 Tl 0.000 0.500 0.493
Pt1 Pt 0.000 0.000 0.376
```

Values from the calculation:
As for the volume: 36.58 A^3/atom. The calculation puts the magnetization at 0.0 μB per formula unit.

(two)
Crystalline Ac5Tl2Pt at its relaxed geometry. Source: the Alexandria database, functional PBE.

```
data_Ac5Tl2Pt
_chemical_formula_sum 'Ac10 Tl4 Pt2'
_cell_length_a 9.051
_cell_length_b 13.206
_cell_length_c 4.984
_cell_angle_alpha 90.00
_cell_angle_beta 90.00
_cell_angle_gamma 90.00
_space_group_name_H-M_alt 'P b a m'
_space_group_IT_number 55
loop_
_space_group_symop_operation_xyz
'x,y,z'
'-x,-y,-z'
'-x,-y,z'
'x,y,-z'
'x+1/2,-y+1/2,-z'
'-x+1/2,y+1/2,z'
'-x+1/2,y+1/2,-z'
'x+1/2,-y+1/2,z'
loop_
_atom_site_label
_atom_site_type_symbol
_atom_site_fract_x
_atom_site_fract_y
_atom_site_fract_z
Ac1 Ac 0.000 0.000 0.000
Ac2 Ac 0.144 0.296 0.000
Ac3 Ac 0.179 0.572 0.500
Tl1 Tl 0.073 0.830 0.500
Pt1 Pt 0.000 0.500 0.000
```

Values from the calculation:
As for the volume: 37.23 A^3/atom. The calculation puts the magnetization at 0.0 μB per formula unit.

Most stable pick: (two). Distance to second place: 226 meV per atom.

(one)
Crystalline AcTmPt2 at its relaxed geometry. Source: the Alexandria database, functional PBE.

```
data_AcTmPt2
_chemical_formula_sum 'Ac3 Tm3 Pt6'
_cell_length_a 4.1586
_cell_length_b 4.1586
_cell_length_c 21.3300
_cell_angle_alpha 90.00
_cell_angle_beta 90.00
_cell_angle_gamma 120.00
_space_group_name_H-M_alt 'R 3 m'
_space_group_IT_number 160
_space_group_name_Hall 'R 3 -2"'
loop_
_atom_site_label
_atom_site_type_symbol
_atom_site_fract_x
_atom_site_fract_y
_atom_site_fract_z
Ac1 Ac 0.0000 0.0000 0.0000
Tm1 Tm 0.0000 0.0000 0.8269
Pt1 Pt 0.0000 0.0000 0.2369
Pt2 Pt 0.0000 0.0000 0.4230
```

Values from the calculation:
As for the volume: 26.62 A^3/atom. The calculation puts the magnetization at 0.0 μB per formula unit.

(two)
Crystalline AcTmPt2 at its relaxed geometry. Source: the Alexandria database, functional PBE.

```
data_AcTmPt2
_chemical_formula_sum 'Ac4 Tm4 Pt8'
_cell_length_a 7.264
_cell_length_b 7.264
_cell_length_c 7.264
_cell_angle_alpha 90.00
_cell_angle_beta 90.00
_cell_angle_gamma 90.00
_space_group_name_H-M_alt 'F m -3 m'
_space_group_IT_number 225
_space_group_name_Hall '-F 4 2 3'
loop_
_atom_site_label
_atom_site_type_symbol
_atom_site_fract_x
_atom_site_fract_y
_atom_site_fract_z
Ac1 Ac 0.000 0.000 0.000
Tm1 Tm 0.000 0.000 0.500
Pt1 Pt 0.250 0.250 0.250
```

Values from the calculation:
As for the volume: 23.95 A^3/atom. The calculation puts the magnetization at 0.0 μB per formula unit.

Most stable pick: (one). Distance to second place: 18 meV per atom.

(one)
Crystalline AcUPt2 at its relaxed geometry. Source: the Alexandria database, functional PBE.

```
data_AcUPt2
_chemical_formula_sum 'Ac1 U1 Pt2'
_cell_length_a 3.604
_cell_length_b 3.604
_cell_length_c 7.454
_cell_angle_alpha 90.00
_cell_angle_beta 90.00
_cell_angle_gamma 90.00
_space_group_name_H-M_alt 'P 4/m m m'
_space_group_IT_number 123
_space_group_name_Hall '-P 4 2'
loop_
_atom_site_label
_atom_site_type_symbol
_atom_site_fract_x
_atom_site_fract_y
_atom_site_fract_z
Ac1 Ac 0.000 0.000 0.000
U1 U 0.000 0.000 0.500
Pt1 Pt 0.500 0.500 0.296
```

Values from the calculation:
As for the volume: 24.20 A^3/atom. The calculation puts the magnetization at 2.3 μB per formula unit.

(two)
Crystalline AcUPt2 at its relaxed geometry. Source: the Alexandria database, functional PBE.

```
data_AcUPt2
_chemical_formula_sum 'Ac3 U3 Pt6'
_cell_length_a 4.2492
_cell_length_b 4.2492
_cell_length_c 20.4862
_cell_angle_alpha 90.00
_cell_angle_beta 90.00
_cell_angle_gamma 120.00
_space_group_name_H-M_alt 'R -3 m'
_space_group_IT_number 166
_space_group_name_Hall '-R 3 2"'
loop_
_atom_site_label
_atom_site_type_symbol
_atom_site_fract_x
_atom_site_fract_y
_atom_site_fract_z
Ac1 Ac 0.0000 0.0000 0.0000
U1 U 0.0000 0.0000 0.5000
Pt1 Pt 0.0000 0.0000 0.2386
```

Values from the calculation:
As for the volume: 26.69 A^3/atom. The calculation puts the magnetization at 2.1 μB per formula unit.

Most stable pick: (two). Distance to second place: 99 meV per atom.

(one)
Crystalline AcYPt2 at its relaxed geometry. Source: the Alexandria database, functional PBE.

```
data_AcYPt2
_chemical_formula_sum 'Ac4 Y4 Pt8'
_cell_length_a 7.307
_cell_length_b 7.307
_cell_length_c 7.307
_cell_angle_alpha 90.00
_cell_angle_beta 90.00
_cell_angle_gamma 90.00
_space_group_name_H-M_alt 'F m -3 m'
_space_group_IT_number 225
_space_group_name_Hall '-F 4 2 3'
loop_
_atom_site_label
_atom_site_type_symbol
_atom_site_fract_x
_atom_site_fract_y
_atom_site_fract_z
Ac1 Ac 0.000 0.000 0.000
Y1 Y 0.000 0.000 0.500
Pt1 Pt 0.250 0.250 0.250
```

Values from the calculation:
As for the volume: 24.39 A^3/atom. The calculation puts the magnetization at 0.0 μB per formula unit.

(two)
Crystalline AcYPt2 at its relaxed geometry. Source: the Alexandria database, functional PBE.

```
data_AcYPt2
_chemical_formula_sum 'Ac2 Y2 Pt4'
_cell_length_a 6.166
_cell_length_b 4.769
_cell_length_c 7.543
_cell_angle_alpha 90.00
_cell_angle_beta 113.15
_cell_angle_gamma 90.00
_space_group_name_H-M_alt 'P 1 21/m 1'
_space_group_IT_number 11
loop_
_space_group_symop_operation_xyz
'x,y,z'
'-x,-y,-z'
'-x,y+1/2,-z'
'x,-y+1/2,z'
loop_
_atom_site_label
_atom_site_type_symbol
_atom_site_fract_x
_atom_site_fract_y
_atom_site_fract_z
Ac1 Ac 0.210 0.250 0.376
Y1 Y 0.289 0.250 0.907
Pt1 Pt 0.181 0.750 0.077
Pt2 Pt 0.328 0.750 0.699
```

Values from the calculation:
As for the volume: 25.49 A^3/atom. The calculation puts the magnetization at 0.0 μB per formula unit.

(three)
Crystalline AcYPt2 at its relaxed geometry. Source: the Alexandria database, functional PBE.

```
data_AcYPt2
_chemical_formula_sum 'Ac3 Y3 Pt6'
_cell_length_a 4.2014
_cell_length_b 4.2014
_cell_length_c 21.3297
_cell_angle_alpha 90.00
_cell_angle_beta 90.00
_cell_angle_gamma 120.00
_space_group_name_H-M_alt 'R 3 m'
_space_group_IT_number 160
_space_group_name_Hall 'R 3 -2"'
loop_
_atom_site_label
_atom_site_type_symbol
_atom_site_fract_x
_atom_site_fract_y
_atom_site_fract_z
Ac1 Ac 0.0000 0.0000 0.0000
Y1 Y 0.0000 0.0000 0.8271
Pt1 Pt 0.0000 0.0000 0.4218
Pt2 Pt 0.0000 0.0000 0.5711
```

Values from the calculation:
As for the volume: 27.17 A^3/atom. The calculation puts the magnetization at 0.0 μB per formula unit.

(four)
Crystalline AcYPt2 at its relaxed geometry. Source: the Alexandria database, functional PBE.

```
data_AcYPt2
_chemical_formula_sum 'Ac3 Y3 Pt6'
_cell_length_a 4.7829
_cell_length_b 4.7829
_cell_length_c 15.5253
_cell_angle_alpha 90.00
_cell_angle_beta 90.00
_cell_angle_gamma 120.00
_space_group_name_H-M_alt 'R -3 m'
_space_group_IT_number 166
_space_group_name_Hall '-R 3 2"'
loop_
_atom_site_label
_atom_site_type_symbol
_atom_site_fract_x
_atom_site_fract_y
_atom_site_fract_z
Ac1 Ac 0.0000 0.0000 0.0000
Y1 Y 0.0000 0.0000 0.5000
Pt1 Pt 0.0000 0.0000 0.2203
```

Values from the calculation:
As for the volume: 25.63 A^3/atom. The calculation puts the magnetization at 0.0 μB per formula unit.

Most stable pick: (two). Distance to second place: 25 meV per atom.